Entry from the Alexandria database: an optimized crystal structure of Tm8Cd2Tc (PBE-GGA).

a = 8.9769 Å, b = 8.9769 Å, c = 6.9096 Å
α = 109.55°, β = 109.55°, γ = 34.30°
Positions (direct):
1 Tm 0.0205 0.0205 0.2901
2 Tm 0.1935 0.1935 0.7757
3 Tm 0.3469 0.3469 0.5543
4 Tm 0.4045 0.4045 0.0823
5 Tm 0.5955 0.5955 0.9177
6 Tm 0.6531 0.6531 0.4457
7 Tm 0.8065 0.8065 0.2243
8 Tm 0.9795 0.9795 0.7099
9 Cd 0.1830 0.1830 0.1977
10 Cd 0.8170 0.8170 0.8023
11 Tc 0.5000 0.5000 0.5000

Output
Size of the total moment in μB per atom: 0.00
Calculated density in Mg/m³: 9.46
DFT total energy in eV per atom: -4.5064

=====

Entry from the Alexandria database: an optimized crystal structure of Tm6Cd2Tc (PBE-GGA).

a = 8.3221 Å, b = 8.3221 Å, c = 3.9720 Å
α = 90.00°, β = 90.00°, γ = 120.00°
Positions (direct):
1 Tm 0.0000 0.3899 0.0000
2 Tm 0.0000 0.7587 0.5000
3 Tm 0.2413 0.2413 0.5000
4 Tm 0.3899 0.0000 0.0000
5 Tm 0.6101 0.6101 0.0000
6 Tm 0.7587 0.0000 0.5000
7 Cd 0.3333 0.6667 0.5000
8 Cd 0.6667 0.3333 0.5000
9 Tc 0.0000 0.0000 0.0000

Output
Size of the total moment in μB per atom: 0.00
Calculated density in Mg/m³: 9.31
Energy above the lowest structure with this stoichiometry in kcal/mol of atoms: 0.00

=====

Entry from the Alexandria database: an optimized crystal structure of Tm4CdTc (PBE-GGA).

a = 8.1492 Å, b = 8.1492 Å, c = 8.1492 Å
α = 36.30°, β = 36.30°, γ = 36.30°
Positions (direct):
1 Tm 0.1172 0.1172 0.1172
2 Tm 0.3623 0.3623 0.3623
3 Tm 0.6377 0.6377 0.6377
4 Tm 0.8828 0.8828 0.8828
5 Cd 0.5000 0.5000 0.5000
6 Tc 0.0000 0.0000 0.0000

Output
Size of the total moment in μB per atom: 0.00
Calculated density in Mg/m³: 8.67
Energy above the lowest structure with this stoichiometry in kcal/mol of atoms: 5.67

=====

Entry from the Alexandria database: an optimized crystal structure of Tm6CdTc2 (PBE-GGA).

a = 8.4039 Å, b = 8.4039 Å, c = 8.4039 Å
α = 112.00°, β = 111.65°, γ = 104.86°
Positions (direct):
1 Tm 0.0221 0.8179 0.2042
2 Tm 0.2368 0.5261 0.2893
3 Tm 0.2368 0.9476 0.7107
4 Tm 0.2822 0.3106 0.5928
5 Tm 0.2822 0.6894 0.9716
6 Tm 0.3863 0.1821 0.2042
7 Tm 0.6137 0.8179 0.7958
8 Tm 0.7178 0.3106 0.0284
9 Tm 0.7178 0.6894 0.4072
10 Tm 0.7632 0.0524 0.2893
11 Tm 0.7632 0.4739 0.7107
12 Tm 0.9779 0.1821 0.7958
13 Cd 0.0000 0.5000 0.5000
14 Cd 0.5000 0.0000 0.5000
15 Tc 0.0000 0.1344 0.1344
16 Tc 0.0000 0.8656 0.8656
17 Tc 0.3834 0.3834 0.0000
18 Tc 0.6166 0.6166 0.0000

Output
Size of the total moment in μB per atom: 0.00
Calculated density in Mg/m³: 9.66
DFT total energy in eV per atom: -5.5452

=====

Entry from the Alexandria database: an optimized crystal structure of Tm3CdTc (PBE-GGA).

a = 6.0575 Å, b = 6.0575 Å, c = 8.9201 Å
α = 100.97°, β = 100.97°, γ = 48.81°
Positions (direct):
1 Tm 0.0705 0.0705 0.3378
2 Tm 0.2577 0.2577 0.7802
3 Tm 0.4194 0.4194 0.1326
4 Tm 0.5806 0.5806 0.8674
5 Tm 0.7423 0.7423 0.2198
6 Tm 0.9295 0.9295 0.6622
7 Cd 0.3615 0.3615 0.4571
8 Cd 0.6385 0.6385 0.5429
9 Tc 0.1133 0.1133 0.0317
10 Tc 0.8867 0.8867 0.9683

Output
Size of the total moment in μB per atom: 0.00
Calculated density in Mg/m³: 9.89
Energy above the lowest structure with this stoichiometry in kcal/mol of atoms: 0.00

=====

Entry from the Alexandria database: an optimized crystal structure of Tm3CdTc (PBE-GGA).

a = 8.5391 Å, b = 8.5391 Å, c = 10.8334 Å
α = 124.82°, β = 124.82°, γ = 23.47°
Positions (direct):
1 Tm 0.0752 0.0752 0.4435
2 Tm 0.3169 0.3169 0.2048
3 Tm 0.3783 0.3783 0.7996
4 Tm 0.6217 0.6217 0.2004
5 Tm 0.6831 0.6831 0.7952
6 Tm 0.9248 0.9248 0.5565
7 Cd 0.0816 0.0816 0.9157
8 Cd 0.9184 0.9184 0.0843
9 Tc 0.2651 0.2651 0.4245
10 Tc 0.7349 0.7349 0.5755

Output
Size of the total moment in μB per atom: 0.00
Calculated density in Mg/m³: 9.32
Energy above the lowest structure with this stoichiometry in kcal/mol of atoms: 1.19

=====

Entry from the Alexandria database: an optimized crystal structure of Tm4Cd3Tc (PBE-GGA).

a = 3.5117 Å, b = 3.5117 Å, c = 15.4493 Å
α = 90.00°, β = 90.00°, γ = 90.00°
Positions (direct):
1 Tm 0.0000 0.0000 0.1026
2 Tm 0.0000 0.0000 0.3689
3 Tm 0.0000 0.0000 0.6311
4 Tm 0.0000 0.0000 0.8974
5 Cd 0.5000 0.5000 0.2391
6 Cd 0.5000 0.5000 0.5000
7 Cd 0.5000 0.5000 0.7609
8 Tc 0.5000 0.5000 0.0000

Output
Size of the total moment in μB per atom: 0.00
Calculated density in Mg/m³: 9.68
DFT total energy in eV per atom: -4.1412

=====

Entry from the Alexandria database: an optimized crystal structure of Tm7Cd2Tc2 (PBE-GGA).

a = 6.5240 Å, b = 6.5240 Å, c = 7.6038 Å
α = 90.00°, β = 90.00°, γ = 114.48°
Positions (direct):
1 Tm 0.0000 0.0000 0.0000
2 Tm 0.0000 0.5000 0.2692
3 Tm 0.0000 0.5000 0.7308
4 Tm 0.5000 0.0000 0.2692
5 Tm 0.5000 0.0000 0.7308
6 Tm 0.5000 0.5000 0.2157
7 Tm 0.5000 0.5000 0.7843
8 Cd 0.1906 0.1906 0.5000
9 Cd 0.8094 0.8094 0.5000
10 Tc 0.2989 0.7011 0.0000
11 Tc 0.7011 0.2989 0.0000

Output
Size of the total moment in μB per atom: 0.00
Calculated density in Mg/m³: 9.04
DFT total energy in eV per atom: -4.9313